Version one
Entry from the Alexandria database: an optimized crystal structure of KBSeBr2 (PBE).

a = 5.5777 Å, b = 5.5777 Å, c = 4.0737 Å
α = 90.00°, β = 90.00°, γ = 90.00°
With the nearest neighbours (Å) after each atom.
Space group P4/mmm (No. 123)
Unique sites:
1 K 0.0000 0.0000 0.0000 x1  8 Br 3.45
2 B 0.5000 0.5000 0.5000 x1  2 Se 2.04
3 Se 0.5000 0.5000 0.0000 x1  2 B 2.04
4 Br 0.0000 0.5000 0.5000 x2  2 B 2.79

- V (Å³ per cell) = 127
- density of states at the Fermi level (states/eV/cell) = 3.2

Version two
Entry from the Alexandria database: an optimized crystal structure of KBSeBr2 (PBE).

a = 6.1165 Å, b = 6.1165 Å, c = 6.0411 Å
α = 90.00°, β = 90.00°, γ = 90.00°
With the nearest neighbours (Å) after each atom.
Space group P4/mmm (No. 123)
Unique sites:
1 K 0.0000 0.0000 0.0000 x1  2 Se 3.02, 4 Br 3.06
2 B 0.5000 0.5000 0.5000 x1  8 Br 4.30, 4 Se 4.33
3 Se 0.0000 0.0000 0.5000 x1  2 K 3.02
4 Br 0.0000 0.5000 0.0000 x2  2 K 3.06

- V (Å³ per cell) = 226
- density of states at the Fermi level (states/eV/cell) = 5.2

Among the structures above, stability is smallest for version two.